Entry 1:
4
Lattice="4.658 0.000 0.000 2.329 4.034 0.000 2.329 1.345 3.803" Properties=species:S:1:pos:R:3 comment="GGA-PBE LuPaFe2, optimized geometry" crystal_system=cubic sg="Fm-3m (225)" de_polymorph_kj_per_mol_atoms=7.9 pbc="T T T"
Fe 2.329 1.345 0.951
Fe 6.987 4.034 2.853
Lu 0.000 0.000 0.000
Pa 4.658 2.689 1.902

Entry 2:
4
Lattice="3.430 0.000 0.000 1.715 2.970 0.000 1.715 0.990 7.356" Properties=species:S:1:pos:R:3 comment="GGA-PBE LuPaFe2, optimized geometry" crystal_system=trigonal sg="R-3m (166)" de_polymorph_kj_per_mol_atoms=21.7 pbc="T T T"
Lu 3.430 1.980 3.678
Fe 5.145 2.970 5.720
Fe 1.715 0.990 1.636
Pa 0.000 0.000 0.000

| no. | ΔH_f (0 K) (eV/atom) | total energy (eV for the cell shown) |
| --- | --- | --- |
| 1 | -0.02 | -31.03 |
| 2 | 0.12 | -30.46 |